Record 1
Density functional theory data (PBE-GGA) for crystalline LiSn2Te6Pb3 at its relaxed geometry.

```
LiSn2Te6Pb3
1.0
9.842 -2.249 0.000
9.842 2.249 0.000
-2.047 0.000 8.803
Li Sn Te Pb
1 2 6 3
direct
0.000 0.000 0.000
0.340 0.340 0.672
0.660 0.660 0.328
0.162 0.162 0.089
0.170 0.170 0.578
0.498 0.498 0.764
0.502 0.502 0.236
0.830 0.830 0.422
0.838 0.838 0.911
0.000 0.000 0.500
0.332 0.332 0.166
0.668 0.668 0.834
```

## Properties
Formation energy (no corrections) (eV/f.u.): -4.77
SG: C2/m
Spin magnetization (μB/f.u.): 0.00

Record 2
Density functional theory data (PBE-GGA) for crystalline LuSc2V at its relaxed geometry.

```
LuSc2V
1.0
4.363 0.000 0.000
0.000 4.363 0.000
0.000 0.000 4.758
Lu Sc V
1 2 1
direct
0.000 0.000 0.000
0.000 0.500 0.500
0.500 0.000 0.500
0.500 0.500 0.000
```

## Properties
SG: P4/mmm
Spin magnetization (μB/f.u.): 1.94
Energy relative to the elements (eV/atom): 0.26

Record 3
Density functional theory data (PBE-GGA) for crystalline MgTlTc2 at its relaxed geometry.

```
MgTlTc2
1.0
1.488 0.859 9.472
-1.488 0.859 9.472
0.000 -1.718 9.472
Mg Tl Tc
1 1 2
direct
0.000 0.000 0.000
0.237 0.237 0.237
0.482 0.482 0.482
0.747 0.747 0.747
```

## Properties
SG: R3m
Spin magnetization (μB/f.u.): 0.00
Energy relative to the elements (eV/atom): 0.33